Here is an optimized crystal structure of PmDyPu2Se5 from the Alexandria database. Energies are from PBE-GGA.

Values from the calculation:
**Size of the total moment**: 11.85 Bohr magnetons per cell
**Crystal system**: tetragonal
**Symmetry**: P4/mmm
**Raw total energy**: -65.9 eV per cell

Cell: 5.140 5.140 10.940 Å, 90.00 90.00 90.00°
Site moments in Bohr magnetons follow the coordinates.
Element x y z (fractional)
Pm 0.000 0.000 0.000  0.05
Dy 0.000 0.000 0.500  0.06
Pu 0.500 0.500 0.313  5.71
Pu 0.500 0.500 0.687  5.71
Se 0.000 0.500 0.500  -0.04
Se 0.500 0.000 0.500  -0.04
Se 0.000 0.000 0.752  -0.03
Se 0.000 0.000 0.248  -0.03
Se 0.500 0.500 0.000  -0.03